MgSnP2O | GGA-PBE | optimized geometry

Formation energy (no corrections), eV/atom: 0.13
Energy above the most stable polymorph in this dataset, meV per atom: 0

Cell lengths 5.1025, 5.1025, 3.6589 Å; angles 90.00, 90.00, 90.00 degrees
Last column: nearest neighbours and their distance in Å.
Space group P4/mmm (No. 123)
One atom of each set of equivalent atoms:
1 Mg 0.0000 0.0000 0.0000 [1 per cell]  2 O 1.83
2 Sn 0.5000 0.5000 0.5000 [1 per cell]  8 P 3.14
3 P 0.0000 0.5000 0.0000 [2 per cell]  2 Mg 2.55
4 O 0.0000 0.0000 0.5000 [1 per cell]  2 Mg 1.83

---

Hg2C | GGA-PBE | optimized geometry

Energy of formation, meV per atom: 1272
Energy above the most stable polymorph in this dataset, meV per atom: 801

Cell lengths 8.1097, 4.4894, 7.2540 Å; angles 90.00, 90.00, 90.00 degrees
Last column: nearest neighbours and their distance in Å.
Space group Pnma (No. 62)
One atom of each set of equivalent atoms:
1 Hg 0.9995 0.2500 0.2502 [4 per cell]  2 C 2.13
2 Hg 0.2503 0.2500 0.6518 [4 per cell]  1 C 2.26
3 C 0.2496 0.2500 0.3405 [4 per cell]  3 Hg 2.13-2.26